The following is a PBE+U calculation of a relaxed structure of CoIN2O, from Alexandria via LeMat-Bulk.

Lattice parameters (Å, degrees): 3.433 3.433 8.182 90.00 90.00 90.00
Atoms (fractional coordinates):
I (0.000, 0.000, 0.500)
Co (0.000, 0.000, 0.000)
O (0.500, 0.500, 0.500)
N (0.000, 0.500, 0.000)
N (0.500, 0.000, 0.000)

Summary:
For the density of states at the Fermi level, the calculation gives 3.0 states/eV per cell. Its crystal system is tetragonal. The calculation puts the calculated total energy at -4.396 eV/atom.